Record 1
The following is a DFT calculation (GGA-PBE) of a geometry-optimized FeTc3Au structure.

The calculation puts the formation enthalpy at 0 K at 1.219 eV/atom.

It has space group Pm-3m (No. 221), with a = 4.393 Å, b = 4.393 Å, c = 4.393 Å, α = 90.00°, β = 90.00° and γ = 90.00°. The inequivalent atoms are Fe at (0.000, 0.000, 0.000), Tc at (0.000, 0.000, 0.500) and Au at (0.500, 0.500, 0.500).



Record 2
The following is a DFT calculation (GGA-PBE) of a geometry-optimized FeTcAu structure.

The energy above the most stable polymorph in this dataset is 0.406 eV per atom. The calculation puts the formation enthalpy at 0 K at 0.565 eV/atom.

It has space group F-43m (No. 216), with a = 5.810 Å, b = 5.810 Å, c = 5.810 Å, α = 90.00°, β = 90.00° and γ = 90.00°. The inequivalent atoms are Fe at (0.000, 0.000, 0.000), Tc at (0.250, 0.250, 0.750) and Au at (0.250, 0.250, 0.250).



Record 3
The following is a DFT calculation (GGA-PBE) of a geometry-optimized Fe2TcAu structure.

The energy above the most stable polymorph in this dataset is 0.338 eV per atom. The calculation puts the formation enthalpy at 0 K at 0.516 eV/atom.

It has space group Fm-3m (No. 225), with a = 5.975 Å, b = 5.975 Å, c = 5.975 Å, α = 90.00°, β = 90.00° and γ = 90.00°. The inequivalent atoms are Fe at (0.250, 0.250, 0.250), Tc at (0.000, 0.000, 0.000) and Au at (0.000, 0.000, 0.500).



Record 4
The following is a DFT calculation (GGA-PBE) of a geometry-optimized FeTcAu structure.

The energy above the most stable polymorph in this dataset is 0.163 eV per atom. The calculation puts the formation enthalpy at 0 K at 0.323 eV/atom.

It has space group Imm2 (No. 44), with a = 2.779 Å, b = 3.711 Å, c = 8.535 Å, α = 90.00°, β = 90.00° and γ = 90.00°. The inequivalent atoms are Fe at (0.000, 0.000, 0.000), Tc at (0.000, 0.000, 0.636) and Au at (0.000, 0.000, 0.321).



Record 5
The following is a DFT calculation (GGA-PBE) of a geometry-optimized FeTc4Au structure.

The calculation puts the formation enthalpy at 0 K at 0.507 eV/atom.

It has space group F-43m (No. 216), with a = 7.231 Å, b = 7.231 Å, c = 7.231 Å, α = 90.00°, β = 90.00° and γ = 90.00°. The inequivalent atoms are Fe at (0.000, 0.000, 0.000), Tc at (0.125, 0.125, 0.625) and Au at (0.250, 0.250, 0.250).



Record 6
The following is a DFT calculation (GGA-PBE) of a geometry-optimized Fe3TcAu structure.

The energy above the most stable polymorph in this dataset is 0.000 eV per atom. The calculation puts the formation enthalpy at 0 K at 1.377 eV/atom.

It has space group Pm-3m (No. 221), with a = 4.426 Å, b = 4.426 Å, c = 4.426 Å, α = 90.00°, β = 90.00° and γ = 90.00°. The inequivalent atoms are Fe at (0.000, 0.000, 0.500), Tc at (0.000, 0.000, 0.000) and Au at (0.500, 0.500, 0.500).



Record 7
The following is a DFT calculation (GGA-PBE) of a geometry-optimized FeTcAu structure.

The energy above the most stable polymorph in this dataset is 0.000 eV per atom. The calculation puts the formation enthalpy at 0 K at 0.159 eV/atom.

It has space group P4/nmm (No. 129, origin choice 2), with a = 2.733 Å, b = 2.733 Å, c = 11.820 Å, α = 90.00°, β = 90.00° and γ = 90.00°. The inequivalent atoms are Fe at (0.250, 0.250, 0.230), Tc at (0.250, 0.250, 0.911) and Au at (0.250, 0.250, 0.601).



Record 8
The following is a DFT calculation (GGA-PBE) of a geometry-optimized Fe2TcAu structure.

The energy above the most stable polymorph in this dataset is 0.091 eV per atom. The calculation puts the formation enthalpy at 0 K at 0.269 eV/atom.

It has space group I4/mmm (No. 139), with a = 3.878 Å, b = 3.878 Å, c = 7.350 Å, α = 90.00°, β = 90.00° and γ = 90.00°. The inequivalent atoms are Fe at (0.000, 0.500, 0.250), Tc at (0.000, 0.000, 0.000) and Au at (0.000, 0.000, 0.500).



Record 9
The following is a DFT calculation (GGA-PBE) of a geometry-optimized Fe2TcAu structure.

The energy above the most stable polymorph in this dataset is 0.238 eV per atom. The calculation puts the formation enthalpy at 0 K at 0.416 eV/atom.

It has space group F-43m (No. 216), with a = 6.124 Å, b = 6.124 Å, c = 6.124 Å, α = 90.00°, β = 90.00° and γ = 90.00°. The inequivalent atoms are Fe at (0.000, 0.000, 0.000), Fe at (0.250, 0.250, 0.250), Tc at (0.000, 0.000, 0.500) and Au at (0.250, 0.250, 0.750).



Record 10
The following is a DFT calculation (GGA-PBE) of a geometry-optimized FeTcAu structure.

The energy above the most stable polymorph in this dataset is 0.059 eV per atom. The calculation puts the formation enthalpy at 0 K at 0.218 eV/atom.

It has space group I4mm (No. 107), with a = 2.783 Å, b = 2.783 Å, c = 11.328 Å, α = 90.00°, β = 90.00° and γ = 90.00°. The inequivalent atoms are Fe at (0.000, 0.000, 0.000), Tc at (0.000, 0.000, 0.633) and Au at (0.000, 0.000, 0.325).



Record 11
The following is a DFT calculation (GGA-PBE) of a geometry-optimized Fe2TcAu structure.

The energy above the most stable polymorph in this dataset is 0.087 eV per atom. The calculation puts the formation enthalpy at 0 K at 0.265 eV/atom.

It has space group Cm (No. 8), with a = 9.005 Å, b = 2.771 Å, c = 4.613 Å, α = 90.00°, β = 104.58° and γ = 90.00°. The inequivalent atoms are Fe at (0.000, 0.000, 0.000), Fe at (0.223, 0.500, 0.259), Tc at (0.473, 0.000, 0.455) and Au at (0.241, 0.000, 0.766).



Record 12
The following is a DFT calculation (GGA-PBE) of a geometry-optimized Fe2TcAu structure.

The energy above the most stable polymorph in this dataset is 0.090 eV per atom. The calculation puts the formation enthalpy at 0 K at 0.268 eV/atom.

It has space group R-3m (No. 166, hexagonal axes), with a = 2.7343 Å, b = 2.7343 Å, c = 26.2852 Å, α = 90.00°, β = 90.00° and γ = 120.00°. The inequivalent atoms are Fe at (0.0000, 0.0000, 0.2458), Tc at (0.0000, 0.0000, 0.5000) and Au at (0.0000, 0.0000, 0.0000).



Record 13
The following is a DFT calculation (GGA-PBE) of a geometry-optimized FeTcAu structure.

The energy above the most stable polymorph in this dataset is 0.108 eV per atom. The calculation puts the formation enthalpy at 0 K at 0.267 eV/atom.

It has space group P3m1 (No. 156), with a = 2.7711 Å, b = 2.7711 Å, c = 6.7084 Å, α = 90.00°, β = 90.00° and γ = 120.00°. The inequivalent atoms are Fe at (0.0000, 0.0000, 0.0000), Tc at (0.3333, 0.6667, 0.2914) and Au at (0.6667, 0.3333, 0.6604).



Record 14
The following is a DFT calculation (GGA-PBE) of a geometry-optimized Fe2TcAu structure.

The energy above the most stable polymorph in this dataset is 0.115 eV per atom. The calculation puts the formation enthalpy at 0 K at 0.293 eV/atom.

It has space group Imm2 (No. 44), with a = 2.998 Å, b = 4.308 Å, c = 8.649 Å, α = 90.00°, β = 90.00° and γ = 90.00°. The inequivalent atoms are Fe at (0.000, 0.000, 0.000), Fe at (0.000, 0.500, 0.282), Tc at (0.000, 0.500, 0.743) and Au at (0.000, 0.000, 0.523).



Record 15
The following is a DFT calculation (GGA-PBE) of a geometry-optimized TiFeTcAu2 structure.

The calculation puts the formation enthalpy at 0 K at 1.175 eV/atom.

It has space group P4/mmm (No. 123), with a = 4.931 Å, b = 4.931 Å, c = 4.373 Å, α = 90.00°, β = 90.00° and γ = 90.00°. The inequivalent atoms are Ti at (0.000, 0.000, 0.000), Fe at (0.500, 0.500, 0.500), Tc at (0.000, 0.000, 0.500) and Au at (0.000, 0.500, 0.000).



Record 16
The following is a DFT calculation (GGA-PBE) of a geometry-optimized ZrFeTcAu2 structure.

The calculation puts the formation enthalpy at 0 K at 1.552 eV/atom.

It has space group P4/mmm (No. 123), with a = 5.177 Å, b = 5.177 Å, c = 4.497 Å, α = 90.00°, β = 90.00° and γ = 90.00°. The inequivalent atoms are Zr at (0.000, 0.000, 0.000), Fe at (0.000, 0.000, 0.500), Tc at (0.500, 0.500, 0.500) and Au at (0.000, 0.500, 0.000).



Record 17
The following is a DFT calculation (GGA-PBE) of a geometry-optimized FeTeAu2 structure.

The energy relative to the elements, uncorrected is 0.329 eV/atom.

It has space group R-3m (No. 166, hexagonal axes), with a = 3.0523 Å, b = 3.0523 Å, c = 29.8861 Å, α = 90.00°, β = 90.00° and γ = 120.00°. The inequivalent atoms are Fe at (0.0000, 0.0000, 0.0000), Te at (0.0000, 0.0000, 0.5000) and Au at (0.0000, 0.0000, 0.2654).



Record 18
The following is a DFT calculation (GGA-PBE) of a geometry-optimized FeTe2Au structure.

The energy relative to the elements, uncorrected is 0.589 eV/atom.

It has space group Fm-3m (No. 225), with a = 6.852 Å, b = 6.852 Å, c = 6.852 Å, α = 90.00°, β = 90.00° and γ = 90.00°. The inequivalent atoms are Fe at (0.000, 0.000, 0.000), Te at (0.250, 0.250, 0.250) and Au at (0.000, 0.000, 0.500).



Record 19
The following is a DFT calculation (GGA-PBE) of a geometry-optimized Fe2TeAu structure.

The energy relative to the elements, uncorrected is 0.470 eV/atom.

It has space group R-3m (No. 166, hexagonal axes), with a = 3.1349 Å, b = 3.1349 Å, c = 24.0584 Å, α = 90.00°, β = 90.00° and γ = 120.00°. The inequivalent atoms are Fe at (0.0000, 0.0000, 0.2504), Te at (0.0000, 0.0000, 0.0000) and Au at (0.0000, 0.0000, 0.5000).



Record 20
The following is a DFT calculation (GGA-PBE) of a geometry-optimized FeTe2Au structure.

The energy relative to the elements, uncorrected is 0.130 eV/atom.

It has space group R3m (No. 160, hexagonal axes), with a = 4.1138 Å, b = 4.1138 Å, c = 19.6371 Å, α = 90.00°, β = 90.00° and γ = 120.00°. The inequivalent atoms are Fe at (0.0000, 0.0000, 0.0000), Te at (0.0000, 0.0000, 0.5352), Te at (0.0000, 0.0000, 0.7342) and Au at (0.0000, 0.0000, 0.2728).